VASP calculation (PBE) on an optimized crystal structure of CsRb2NaBr.

Summary:
Its total magnetic moment is 0.00 μB per cell. The symmetry is P4/mmm (123). Its formation energy without anion corrections is -0.6420 eV per atom.

```
CsRb2NaBr
1.0
6.8584 0.0000 0.0000
0.0000 6.8584 0.0000
0.0000 0.0000 7.2035
Cs Na Br Rb
1 1 1 2
direct
0.0000 0.0000 0.5000
0.5000 0.5000 0.5000
0.0000 0.0000 0.0000
0.0000 0.5000 0.0000
0.5000 0.0000 0.0000
```

VASP calculation (PBE) on an optimized crystal structure of CsRbNa2Br.

Summary:
Its total magnetic moment is 0.00 μB per cell. The symmetry is P4/mmm (123). Its formation energy without anion corrections is -0.4760 eV per atom.

```
CsRbNa2Br
1.0
-1.0632 -4.4353 -4.5112
2.9542 -4.3932 3.6230
-6.1553 -1.6251 3.0485
Cs Na Br Rb
1 2 1 1
direct
0.0000 0.0000 0.5000
0.0000 0.5000 0.0000
0.5000 0.0000 0.0000
0.0000 0.0000 0.0000
0.5000 0.5000 0.5000
```

VASP calculation (PBE) on an optimized crystal structure of CsNaReBr6.

Summary:
Its total magnetic moment is 6.00 μB per cell. The symmetry is P-31c (163). Its formation energy without anion corrections is -0.9099 eV per atom.

```
CsNaReBr6
1.0
7.3701 0.0000 0.0000
-3.6851 6.3827 0.0000
0.0000 0.0000 15.6309
Cs Na Re Br
2 2 2 12
direct
0.0000 0.0000 0.0000
0.0000 0.0000 0.5000
0.3333 0.6667 0.2500
0.6667 0.3333 0.7500
0.6667 0.3333 0.2500
0.3333 0.6667 0.7500
0.6538 0.6069 0.1554
0.9531 0.3462 0.1554
0.3462 0.9531 0.6554
0.0469 0.6538 0.8446
0.3931 0.3462 0.3446
0.9531 0.6069 0.3446
0.6069 0.9531 0.8446
0.6538 0.0469 0.3446
0.0469 0.3931 0.6554
0.3931 0.0469 0.1554
0.6069 0.6538 0.6554
0.3462 0.3931 0.8446
```

VASP calculation (PBE) on an optimized crystal structure of CsNa2ReBr8.

Summary:
Its total magnetic moment is 3.18 μB per cell. The symmetry is P-1 (2). Its formation energy without anion corrections is -0.8809 eV per atom.

```
CsNa2ReBr8
1.0
-2.0928 0.2360 -6.4934
-4.6381 -3.8833 1.7628
-5.7469 7.7488 2.1234
Cs Na Re Br
1 2 1 8
direct
0.0000 0.0000 0.5000
0.5000 0.4990 0.7668
0.5000 0.5010 0.2332
0.0000 0.0000 0.0000
0.1371 0.7691 0.1816
0.6824 0.7671 0.9992
0.8601 0.2282 0.1805
0.8629 0.2309 0.8184
0.3176 0.2329 0.0008
0.1399 0.7718 0.8194
0.5017 0.7478 0.5000
0.4983 0.2522 0.5000
```

VASP calculation (PBE) on an optimized crystal structure of CsNaRuBr6.

Summary:
Its total magnetic moment is 2.00 μB per cell. The symmetry is C2 (5). Its formation energy without anion corrections is -0.8594 eV per atom.

```
CsNaRuBr6
1.0
-6.3778 -0.8723 3.4531
-1.6629 -6.4216 3.0602
3.3167 2.3535 6.7296
Cs Na Ru Br
1 1 1 6
direct
0.0001 0.0001 0.0000
0.6662 0.6663 0.5000
0.3334 0.3334 0.5000
0.0480 0.3451 0.3139
0.3451 0.0481 0.6861
0.6068 0.3455 0.6860
0.0467 0.6081 0.6854
0.3455 0.6067 0.3139
0.6080 0.0468 0.3145
```

VASP calculation (PBE) on an optimized crystal structure of Cs2NaSBr.

Summary:
Its total magnetic moment is 0.00 μB per cell. The symmetry is P4/mmm (123). Its formation energy without anion corrections is -1.2061 eV per atom.

```
Cs2NaSBr
1.0
-6.1434 2.4907 -1.3956
-1.6608 -5.8112 -3.0601
-1.7700 -1.8544 4.4822
Cs Na S Br
2 1 1 1
direct
0.0000 0.5000 0.0000
0.5000 0.0000 0.0000
0.0000 0.0000 0.5000
0.0000 0.0000 0.0000
0.5000 0.5000 0.5000
```

VASP calculation (PBE) on an optimized crystal structure of CsNa2SbBr8.

Summary:
Its total magnetic moment is 0.00 μB per cell. The symmetry is P-1 (2). Its formation energy without anion corrections is -0.9515 eV per atom.

```
CsNa2SbBr8
1.0
7.0814 -0.2026 0.0041
-0.2137 6.1050 0.0246
0.0187 0.0589 10.2327
Cs Na Sb Br
1 2 1 8
direct
0.0000 0.0000 0.5000
0.5003 0.4987 0.7710
0.4997 0.5013 0.2290
0.0000 0.0000 0.0000
0.1520 0.7647 0.1970
0.6750 0.7353 0.9987
0.8427 0.2288 0.1951
0.8480 0.2353 0.8030
0.3250 0.2647 0.0013
0.1573 0.7712 0.8049
0.5025 0.7485 0.5001
0.4975 0.2515 0.4999
```

VASP calculation (PBE) on an optimized crystal structure of CsNaSbBr2.

Summary:
Its total magnetic moment is 3.00 μB per cell. The symmetry is P4/mmm (123). Its formation energy without anion corrections is -0.6584 eV per atom.

```
CsNaSbBr2
1.0
5.8737 0.0000 0.0000
0.0000 6.0536 0.0000
0.0000 0.0000 5.8737
Cs Sb Br Na
1 1 2 1
direct
0.5000 0.5000 0.5000
0.0000 0.5000 0.0000
0.0000 0.0000 0.5000
0.5000 0.0000 0.0000
0.0000 0.0000 0.0000
```

VASP calculation (PBE) on an optimized crystal structure of Cs3NaSc2Br9.

Summary:
Its total magnetic moment is 1.04 μB per cell. The symmetry is P-3m1 (164). Its formation energy without anion corrections is -1.7086 eV per atom.

```
Cs3NaSc2Br9
1.0
-6.2950 4.7446 -0.0669
-0.2009 -6.7581 4.0535
3.3926 4.6121 7.8573
Cs Na Sc Br
3 1 2 9
direct
0.3333 0.6667 0.6563
0.0000 0.0000 0.0000
0.6667 0.3333 0.3437
0.0000 0.0000 0.5000
0.3333 0.6667 0.1638
0.6667 0.3333 0.8362
0.8274 0.1726 0.6808
0.8274 0.6549 0.6808
0.3451 0.1726 0.6808
0.6549 0.8274 0.3192
0.1726 0.3451 0.3192
0.1726 0.8274 0.3192
0.5000 0.0000 0.0000
0.0000 0.5000 0.0000
0.5000 0.5000 0.0000
```

VASP calculation (PBE) on an optimized crystal structure of CsNaScBr5.

Summary:
Its total magnetic moment is 0.00 μB per cell. The symmetry is C2/c (15). Its formation energy without anion corrections is -1.6836 eV per atom.

```
CsNaScBr5
1.0
8.1283 -0.3446 0.1392
-2.7023 7.6737 0.1392
-2.0918 -2.8255 9.8123
Cs Na Sc Br
2 2 2 10
direct
0.3369 0.6631 0.2500
0.6631 0.3369 0.7500
0.6821 0.3179 0.2500
0.3179 0.6821 0.7500
0.0000 0.0000 0.5000
0.0000 0.0000 0.0000
0.0576 0.9424 0.2500
0.9424 0.0576 0.7500
0.9042 0.2720 0.0769
0.0958 0.7280 0.9231
0.7280 0.0958 0.4231
0.2720 0.9042 0.5769
0.7596 0.6522 0.4462
0.2404 0.3478 0.5538
0.3478 0.2404 0.0538
0.6522 0.7596 0.9462
```

VASP calculation (PBE) on an optimized crystal structure of CsNaSc2Br8.

Summary:
Its total magnetic moment is 0.00 μB per cell. The symmetry is R-3 (148). Its formation energy without anion corrections is -1.6592 eV per atom.

```
CsNaSc2Br8
1.0
7.2470 0.0000 0.0000
3.6235 6.2761 0.0000
3.6235 2.0920 10.2772
Cs Na Sc Br
1 1 2 8
direct
0.5000 0.5000 0.5000
0.0000 0.0000 0.0000
0.2526 0.2526 0.2421
0.7474 0.7474 0.7579
0.1718 0.1718 0.4845
0.6024 0.2859 0.1744
0.8282 0.8282 0.5155
0.9374 0.6024 0.1744
0.0626 0.3976 0.8256
0.2859 0.9374 0.1744
0.7141 0.0626 0.8256
0.3976 0.7141 0.8256
```

VASP calculation (PBE) on an optimized crystal structure of Cs3Na2ScBr9.

Summary:
Its total magnetic moment is 0.89 μB per cell. The symmetry is P-3m1 (164). Its formation energy without anion corrections is -1.5707 eV per atom.

```
Cs3Na2ScBr9
1.0
7.9066 0.0000 0.0000
-3.9533 6.8473 0.0000
0.0000 0.0000 10.1299
Cs Na Sc Br
3 2 1 9
direct
0.3333 0.6667 0.6732
0.0000 0.0000 0.0000
0.6667 0.3333 0.3268
0.3333 0.6667 0.1768
0.6667 0.3333 0.8232
0.0000 0.0000 0.5000
0.8415 0.1585 0.6520
0.8415 0.6830 0.6520
0.3170 0.1585 0.6520
0.6830 0.8415 0.3480
0.1585 0.3170 0.3480
0.1585 0.8415 0.3480
0.5000 0.0000 0.0000
0.0000 0.5000 0.0000
0.5000 0.5000 0.0000
```

VASP calculation (PBE) on an optimized crystal structure of CsNaSeBr2.

Summary:
Its total magnetic moment is 1.05 μB per cell. The symmetry is P4/mmm (123). Its formation energy without anion corrections is -0.3506 eV per atom.

```
CsNaSeBr2
1.0
6.6993 0.0000 0.0000
0.0000 6.6993 0.0000
0.0000 0.0000 5.9424
Cs Na Se Br
1 1 1 2
direct
0.0000 0.0000 0.0000
0.5000 0.5000 0.5000
0.0000 0.0000 0.5000
0.0000 0.5000 0.0000
0.5000 0.0000 0.0000
```

VASP calculation (PBE) on an optimized crystal structure of Cs2NaSeBr6.

Summary:
Its total magnetic moment is 0.62 μB per cell. The symmetry is R-3m (166). Its formation energy without anion corrections is -1.0061 eV per atom.

```
Cs2NaSeBr6
1.0
7.8521 0.0000 0.0000
3.9260 6.8001 0.0000
3.9260 2.2667 13.7111
Cs Na Se Br
4 2 2 12
direct
0.8757 0.8757 0.3729
0.1243 0.1243 0.6271
0.7030 0.7030 0.8910
0.2970 0.2970 0.1090
0.5826 0.5826 0.2522
0.4174 0.4174 0.7478
0.0000 0.0000 0.0000
0.5000 0.5000 0.5000
0.8729 0.3689 0.3893
0.3689 0.8729 0.3893
0.3689 0.3689 0.3893
0.1271 0.6311 0.6107
0.6311 0.1271 0.6107
0.6311 0.6311 0.6107
0.7059 0.2039 0.8862
0.2039 0.7059 0.8862
0.2039 0.2039 0.8862
0.2941 0.7961 0.1138
0.7961 0.2941 0.1138
0.7961 0.7961 0.1138
```

VASP calculation (PBE) on an optimized crystal structure of CsNaSe2Br.

Summary:
Its total magnetic moment is 0.00 μB per cell. The symmetry is P4/mmm (123). Its formation energy without anion corrections is -0.1736 eV per atom.

```
CsNaSe2Br
1.0
5.6695 0.0000 0.0000
0.0000 6.1205 0.0000
0.0000 0.0000 5.6695
Cs Na Se Br
1 1 2 1
direct
0.0000 0.5000 0.0000
0.5000 0.5000 0.5000
0.0000 0.0000 0.5000
0.5000 0.0000 0.0000
0.0000 0.0000 0.0000
```

VASP calculation (PBE) on an optimized crystal structure of CsNaSe2Br.

Summary:
Its total magnetic moment is 0.58 μB per cell. The symmetry is P4/mmm (123). Its formation energy without anion corrections is 0.0682 eV per atom.

```
CsNaSe2Br
1.0
5.8541 0.0000 0.0000
0.0000 5.8541 0.0000
0.0000 0.0000 6.7478
Cs Na Se Br
1 1 2 1
direct
0.0000 0.0000 0.0000
0.5000 0.5000 0.5000
0.0000 0.5000 0.0000
0.5000 0.0000 0.0000
0.0000 0.0000 0.5000
```

VASP calculation (PBE) on an optimized crystal structure of CsNaSe2Br.

Summary:
Its total magnetic moment is 3.02 μB per cell. The symmetry is P4/mmm (123). Its formation energy without anion corrections is -0.4368 eV per atom.

```
CsNaSe2Br
1.0
-2.4609 -1.8775 -4.7052
-3.5494 -3.0933 3.0907
-3.7548 4.4833 0.1749
Cs Na Se Br
1 1 2 1
direct
0.5000 0.5000 0.5000
0.0000 0.0000 0.0000
0.0000 0.5000 0.0000
0.5000 0.0000 0.0000
0.0000 0.0000 0.5000
```

VASP calculation (PBE) on an optimized crystal structure of CsNa2SeBr.

Summary:
Its total magnetic moment is 0.00 μB per cell. The symmetry is P4/mmm (123). Its formation energy without anion corrections is -1.1673 eV per atom.

```
CsNa2SeBr
1.0
5.4467 0.0000 0.0000
0.0000 5.4467 0.0000
0.0000 0.0000 7.2225
Cs Na Se Br
1 2 1 1
direct
0.0000 0.0000 0.5000
0.0000 0.5000 0.0000
0.5000 0.0000 0.0000
0.0000 0.0000 0.0000
0.5000 0.5000 0.5000
```

VASP calculation (PBE) on an optimized crystal structure of CsNa2SeBr.

Summary:
Its total magnetic moment is 0.00 μB per cell. The symmetry is I4mm (107). Its formation energy without anion corrections is -1.2703 eV per atom.

```
CsNa2SeBr
1.0
-0.9881 -2.3336 -4.0827
4.4811 0.7977 -1.5406
0.5492 -5.8719 6.0513
Cs Na Se Br
1 2 1 1
direct
0.5203 0.5203 0.0406
0.7411 0.2411 0.4822
0.2411 0.7411 0.4822
0.1434 0.1434 0.2868
0.8541 0.8541 0.7083
```

VASP calculation (PBE) on an optimized crystal structure of CsNaSeBr2.

Summary:
Its total magnetic moment is 2.02 μB per cell. The symmetry is P4/mmm (123). Its formation energy without anion corrections is -0.8201 eV per atom.

```
CsNaSeBr2
1.0
-3.7231 -1.4737 -4.2521
-4.2512 -0.6586 3.9506
-1.4038 5.3375 -0.6208
Cs Na Se Br
1 1 1 2
direct
0.5000 0.5000 0.5000
0.0000 0.0000 0.0000
0.0000 0.0000 0.5000
0.0000 0.5000 0.0000
0.5000 0.0000 0.0000
```